NaPr2Zr | PBE | optimized geometry

Results
Electronic total energy (eV per cell): -18.9
Magnetization (μB per formula unit): 0.0
Energy above the lowest structure with this stoichiometry (kJ per mole of atoms): 0.0
Energy of formation from the pure elements (eV per atom): 0.13

Cell: 3.4768 3.4768 10.7012 Å, 90.00 90.00 90.00°
Space group P4/mmm (No. 123)
One atom of each set of equivalent atoms:
Na: 0.0000 0.0000 0.0000 (multiplicity 1)
Pr: 0.5000 0.5000 0.2815 (multiplicity 2)
Zr: 0.0000 0.0000 0.5000 (multiplicity 1)



LaCu9Ni2 | PBE | optimized geometry

Results
Electronic total energy (eV per cell): -217.5
Magnetization (μB per formula unit): 0.0
Energy of formation from the pure elements (eV per atom): -0.08

Cell: 10.0719 10.0719 6.5350 Å, 90.00 90.00 90.00°
Space group I4_1/amd (No. 141, origin choice 2)
One atom of each set of equivalent atoms:
La: 0.0000 0.2500 0.3750 (multiplicity 4)
Cu: 0.0000 0.2500 0.8750 (multiplicity 4)
Cu: 0.1237 0.0443 0.6873 (multiplicity 32)
Ni: 0.0000 0.0000 0.0000 (multiplicity 8)



K3Te3As | PBE | optimized geometry

Results
Electronic total energy (eV per cell): -84.0
Uncorrected formation energy (eV per atom): -0.518
Magnetization (μB per formula unit): 0.6

Cell: 10.9633 18.9220 6.9931 Å, 90.00 90.00 90.00°
Space group Cmcm (No. 63)
One atom of each set of equivalent atoms:
K: 0.0000 0.1798 0.2500 (multiplicity 4)
K: 0.2293 0.4101 0.2500 (multiplicity 8)
Te: 0.0000 0.1906 0.7500 (multiplicity 4)
Te: 0.2130 0.4044 0.7500 (multiplicity 8)
As: 0.0000 0.3330 0.7500 (multiplicity 4)



AcYPa2S8 | PBE | optimized geometry

Results
Electronic total energy (eV per cell): -83.2
Uncorrected formation energy (eV per atom): -1.718
Magnetization (μB per formula unit): 0.0

Cell: 6.2702 8.4530 6.4411 Å, 90.00 91.62 90.00°
Space group P2/m (No. 10)
One atom of each set of equivalent atoms:
Ac: 0.0000 0.0000 0.0000 (multiplicity 1)
Y: 0.0000 0.5000 0.0000 (multiplicity 1)
Pa: 0.5000 0.2544 0.5000 (multiplicity 2)
S: 0.2416 0.2677 0.1757 (multiplicity 4)
S: 0.2878 0.5000 0.6601 (multiplicity 2)
S: 0.2899 0.0000 0.6399 (multiplicity 2)